1.
Here is Rb3Tl5Bi2 after structural relaxation from Alexandria via LeMat-Bulk. Energies are from GGA-PBE.

## Properties
E above lowest polymorph: 10 meV per atom
Formation enthalpy at 0 K: -0.14 eV per atom

Cell and atoms, written as CIF:
```
data_Rb3Tl5Bi2
_cell_length_a 13.528
_cell_length_b 15.927
_cell_length_c 7.679
_cell_angle_alpha 90.00
_cell_angle_beta 90.00
_cell_angle_gamma 90.00
_symmetry_space_group_name_H-M 'I b a m'
_symmetry_Int_Tables_number 72
_symmetry_space_group_name_Hall '-I 2 2c'
loop_
_atom_site_label
_atom_site_type_symbol
_atom_site_fract_x
_atom_site_fract_y
_atom_site_fract_z
Rb1 Rb 0.000 0.000 0.250
Rb2 Rb 0.242 0.372 0.000
Tl1 Tl 0.000 0.257 0.250
Tl2 Tl 0.000 0.500 0.250
Tl3 Tl 0.130 0.379 0.500
Bi1 Bi 0.147 0.149 0.000
```

=====

2.
Here is RbTlBi2 after structural relaxation from Alexandria via LeMat-Bulk. Energies are from GGA-PBE.

## Properties
E above lowest polymorph: 186 meV per atom
Formation enthalpy at 0 K: 0.01 eV per atom

Cell and atoms, written as CIF:
```
data_RbTlBi2
_cell_length_a 3.6725
_cell_length_b 3.6725
_cell_length_c 36.5857
_cell_angle_alpha 90.00
_cell_angle_beta 90.00
_cell_angle_gamma 120.00
_symmetry_space_group_name_H-M 'R -3 m'
_symmetry_Int_Tables_number 166
_symmetry_space_group_name_Hall '-R 3 2"'
loop_
_atom_site_label
_atom_site_type_symbol
_atom_site_fract_x
_atom_site_fract_y
_atom_site_fract_z
Rb1 Rb 0.0000 0.0000 0.0000
Tl1 Tl 0.0000 0.0000 0.5000
Bi1 Bi 0.0000 0.0000 0.2462
```

=====

3.
Here is Rb2TlBi after structural relaxation from Alexandria via LeMat-Bulk. Energies are from GGA-PBE.

## Properties
E above lowest polymorph: 34 meV per atom
Formation enthalpy at 0 K: -0.19 eV per atom

Cell and atoms, written as CIF:
```
data_Rb2TlBi
_cell_length_a 11.321
_cell_length_b 9.558
_cell_length_c 6.746
_cell_angle_alpha 90.00
_cell_angle_beta 90.00
_cell_angle_gamma 90.00
_symmetry_space_group_name_H-M 'C m c m'
_symmetry_Int_Tables_number 63
_symmetry_space_group_name_Hall '-C 2c 2'
loop_
_atom_site_label
_atom_site_type_symbol
_atom_site_fract_x
_atom_site_fract_y
_atom_site_fract_z
Rb1 Rb 0.174 0.152 0.250
Tl1 Tl 0.000 0.500 0.000
Bi1 Bi 0.000 0.201 0.750
```

=====

4.
Here is RbTl12Bi4 after structural relaxation from Alexandria via LeMat-Bulk. Energies are from GGA-PBE.

## Properties
Formation enthalpy at 0 K: 0.05 eV per atom

Cell and atoms, written as CIF:
```
data_RbTl12Bi4
_cell_length_a 10.971
_cell_length_b 10.971
_cell_length_c 10.971
_cell_angle_alpha 90.00
_cell_angle_beta 90.00
_cell_angle_gamma 90.00
_symmetry_space_group_name_H-M 'I m -3'
_symmetry_Int_Tables_number 204
_symmetry_space_group_name_Hall '-I 2 2 3'
loop_
_atom_site_label
_atom_site_type_symbol
_atom_site_fract_x
_atom_site_fract_y
_atom_site_fract_z
Rb1 Rb 0.000 0.000 0.000
Tl1 Tl 0.000 0.145 0.355
Bi1 Bi 0.250 0.250 0.250
```

=====

5.
Here is Rb2Tl5Bi4 after structural relaxation from Alexandria via LeMat-Bulk. Energies are from GGA-PBE.

## Properties
Formation enthalpy at 0 K: -0.08 eV per atom

Cell and atoms, written as CIF:
```
data_Rb2Tl5Bi4
_cell_length_a 7.183
_cell_length_b 12.378
_cell_length_c 20.043
_cell_angle_alpha 90.00
_cell_angle_beta 90.00
_cell_angle_gamma 90.00
_symmetry_space_group_name_H-M 'F m m m'
_symmetry_Int_Tables_number 69
_symmetry_space_group_name_Hall '-F 2 2'
loop_
_atom_site_label
_atom_site_type_symbol
_atom_site_fract_x
_atom_site_fract_y
_atom_site_fract_z
Rb1 Rb 0.000 0.000 0.153
Tl1 Tl 0.000 0.000 0.500
Tl2 Tl 0.250 0.250 0.000
Tl3 Tl 0.250 0.250 0.250
Bi1 Bi 0.000 0.127 0.358
```

=====

6.
Here is RbTlBi2 after structural relaxation from Alexandria via LeMat-Bulk. Energies are from GGA-PBE.

## Properties
E above lowest polymorph: 148 meV per atom
Formation enthalpy at 0 K: -0.03 eV per atom

Cell and atoms, written as CIF:
```
data_RbTlBi2
_cell_length_a 9.394
_cell_length_b 9.394
_cell_length_c 6.995
_cell_angle_alpha 90.00
_cell_angle_beta 90.00
_cell_angle_gamma 90.00
_symmetry_space_group_name_H-M 'I -4 2 d'
_symmetry_Int_Tables_number 122
_symmetry_space_group_name_Hall 'I -4 2bw'
loop_
_atom_site_label
_atom_site_type_symbol
_atom_site_fract_x
_atom_site_fract_y
_atom_site_fract_z
Rb1 Rb 0.000 0.000 0.000
Tl1 Tl 0.000 0.000 0.500
Bi1 Bi 0.195 0.250 0.625
```

=====

7.
Here is RbTl3Bi after structural relaxation from Alexandria via LeMat-Bulk. Energies are from GGA-PBE.

## Properties
E above lowest polymorph: 14 meV per atom
Formation enthalpy at 0 K: -0.10 eV per atom

Cell and atoms, written as CIF:
```
data_RbTl3Bi
_cell_length_a 16.130
_cell_length_b 12.123
_cell_length_c 8.019
_cell_angle_alpha 90.00
_cell_angle_beta 105.22
_cell_angle_gamma 90.00
_symmetry_space_group_name_H-M 'C 1 2/c 1'
_symmetry_Int_Tables_number 15
_symmetry_space_group_name_Hall '-C 2yc'
loop_
_atom_site_label
_atom_site_type_symbol
_atom_site_fract_x
_atom_site_fract_y
_atom_site_fract_z
Rb1 Rb 0.000 0.049 0.250
Rb2 Rb 0.000 0.368 0.750
Tl1 Tl 0.172 0.169 0.035
Tl2 Tl 0.176 0.183 0.623
Tl3 Tl 0.218 0.472 0.627
Bi1 Bi 0.105 0.345 0.281
```

=====

8.
Here is Rb3Tl4Bi4 after structural relaxation from Alexandria via LeMat-Bulk. Energies are from GGA-PBE.

## Properties
E above lowest polymorph: 35 meV per atom
Formation enthalpy at 0 K: -0.14 eV per atom

Cell and atoms, written as CIF:
```
data_Rb3Tl4Bi4
_cell_length_a 9.885
_cell_length_b 9.885
_cell_length_c 9.885
_cell_angle_alpha 90.00
_cell_angle_beta 90.00
_cell_angle_gamma 90.00
_symmetry_space_group_name_H-M 'I -4 3 m'
_symmetry_Int_Tables_number 217
_symmetry_space_group_name_Hall 'I -4 2 3'
loop_
_atom_site_label
_atom_site_type_symbol
_atom_site_fract_x
_atom_site_fract_y
_atom_site_fract_z
Rb1 Rb 0.000 0.000 0.500
Tl1 Tl 0.150 0.150 0.150
Bi1 Bi 0.172 0.172 0.828
```

=====

- Which of these has the highest formation enthalpy at 0 K?
  RbTl12Bi4

=====

- Which of these has the highest formation enthalpy at 0 K?
  RbTl12Bi4

=====

- Which of these has the highest formation enthalpy at 0 K?
  RbTl12Bi4